# BaPu2Se4

Crystalline BaPu2Se4 at its relaxed geometry (PBE, the Alexandria database).

Cell lengths 4.2723, 7.2088, 14.2542 Å; angles 90.00, 90.00, 107.24 degrees
Atoms (fractional coordinates):
1 Se 0.0665 0.1330 0.2500
2 Se 0.5000 0.0000 0.5000
3 Se 0.2348 0.4696 0.6132
4 Se 0.7652 0.5304 0.3868
5 Se 0.5000 0.0000 0.0000
6 Se 0.7652 0.5304 0.1132
7 Se 0.9335 0.8670 0.7500
8 Se 0.2348 0.4696 0.8868
9 Pu 0.1334 0.2668 0.0631
10 Pu 0.1334 0.2668 0.4369
11 Pu 0.8666 0.7332 0.5631
12 Pu 0.8666 0.7332 0.9369
13 Ba 0.3909 0.7819 0.2500
14 Ba 0.6091 0.2181 0.7500

Output
The space group is Cmcm, No. 63. The value obtained for the total energy is -8.01 eV/atom. As for the total magnetic moment: 10.00 μB/f.u. Its crystal system is orthorhombic. The value obtained for the formation energy from raw total energies is -1.65 eV/atom.

=====

# Ba5PuSe6

Crystalline Ba5PuSe6 at its relaxed geometry (PBE, the Alexandria database).

Cell lengths 8.0267, 8.0401, 8.0340 Å; angles 59.98, 80.36, 70.44 degrees
Atoms (fractional coordinates):
1 Pu 0.0000 0.0000 0.0000
2 Se 0.2380 0.9207 0.6859
3 Se 0.7620 0.3934 0.6859
4 Se 0.2380 0.6066 0.3141
5 Se 0.7620 0.0793 0.3141
6 Se 0.7610 0.7664 0.0000
7 Se 0.2390 0.2336 0.0000
8 Ba 0.5000 0.5000 0.0000
9 Ba 0.5000 0.1687 0.6626
10 Ba 0.0000 0.3340 0.3321
11 Ba 0.5000 0.8313 0.3374
12 Ba 0.0000 0.6660 0.6679

Output
The space group is C2/m, No. 12. The value obtained for the total energy is -5.64 eV/atom. As for the total magnetic moment: 5.90 μB/f.u. Its crystal system is monoclinic. The value obtained for the formation energy from raw total energies is -1.90 eV/atom.